Entry from the Alexandria database: ReTc2As at its PBEsol-relaxed geometry (meta-GGA SCAN).

energy of formation: 0.015 eV/atom

extended XYZ file:
```
4
Lattice="2.935 0.000 0.000 0.000 2.935 0.000 0.000 0.000 6.531" Properties=species:S:1:pos:R:3 pbc="T T T"
Re 0.000 0.000 0.000
Tc 0.000 0.000 3.427
Tc 1.467 1.467 1.701
As 1.467 1.467 4.925
```


Entry from the Alexandria database: ReTcAs at its PBEsol-relaxed geometry (meta-GGA SCAN).

energy of formation: 0.593 eV/atom

extended XYZ file:
```
12
Lattice="5.759 0.000 0.000 0.000 5.759 0.000 0.000 0.000 5.759" Properties=species:S:1:pos:R:3 pbc="T T T"
Re 0.000 0.000 0.000
Re 0.000 2.880 2.880
Re 2.880 0.000 2.880
Re 2.880 2.880 0.000
Tc 0.000 0.000 2.880
Tc 0.000 2.880 0.000
Tc 2.880 0.000 0.000
Tc 2.880 2.880 2.880
As 1.440 1.440 1.440
As 1.440 4.319 4.319
As 4.319 1.440 4.319
As 4.319 4.319 1.440
```


Entry from the Alexandria database: ReTe2As at its PBEsol-relaxed geometry (meta-GGA SCAN).

formation energy (no corrections): 0.797 eV per atom

extended XYZ file:
```
8
Lattice="5.508 0.000 0.000 0.000 5.508 0.000 0.000 0.000 5.671" Properties=species:S:1:pos:R:3 pbc="T T T"
Re 0.000 0.000 0.000
Re 2.754 2.754 2.836
Te 0.000 2.754 0.000
Te 0.000 2.754 2.836
Te 2.754 0.000 0.000
Te 2.754 0.000 2.836
As 0.000 0.000 2.836
As 2.754 2.754 0.000
```


Entry from the Alexandria database: ReTe2As at its PBEsol-relaxed geometry (meta-GGA SCAN).

formation energy (no corrections): 0.278 eV per atom

extended XYZ file:
```
12
Lattice="3.284 0.000 0.000 -1.642 2.844 0.000 0.000 0.000 28.077" Properties=species:S:1:pos:R:3 pbc="T T T"
Re 0.000 0.000 0.000
Re 0.000 1.896 18.718
Re 1.642 0.948 9.359
Te 0.000 0.000 14.502
Te 0.000 0.000 20.659
Te 0.000 1.896 5.143
Te 0.000 1.896 11.300
Te 1.642 0.948 1.941
Te 1.642 0.948 23.861
As 0.000 0.000 7.690
As 0.000 1.896 26.408
As 1.642 0.948 17.049
```


Entry from the Alexandria database: Tl2ReAs at its PBEsol-relaxed geometry (meta-GGA SCAN).

energy of formation: 1.317 eV/atom

extended XYZ file:
```
16
Lattice="6.847 0.000 0.000 0.000 6.847 0.000 0.000 0.000 6.847" Properties=species:S:1:pos:R:3 pbc="T T T"
Tl 1.712 1.712 1.712
Tl 1.712 1.712 5.135
Tl 1.712 5.135 1.712
Tl 1.712 5.135 5.135
Tl 5.135 1.712 1.712
Tl 5.135 1.712 5.135
Tl 5.135 5.135 1.712
Tl 5.135 5.135 5.135
Re 0.000 0.000 0.000
Re 0.000 3.424 3.424
Re 3.424 0.000 3.424
Re 3.424 3.424 0.000
As 0.000 0.000 3.424
As 0.000 3.424 0.000
As 3.424 0.000 0.000
As 3.424 3.424 3.424
```


Entry from the Alexandria database: TlRe2As at its PBEsol-relaxed geometry (meta-GGA SCAN).

energy of formation: 1.086 eV/atom

extended XYZ file:
```
16
Lattice="6.350 0.000 0.000 0.000 6.350 0.000 0.000 0.000 6.350" Properties=species:S:1:pos:R:3 pbc="T T T"
Tl 0.000 0.000 0.000
Tl 0.000 3.175 3.175
Tl 3.175 0.000 3.175
Tl 3.175 3.175 0.000
Re 1.587 1.587 1.587
Re 1.587 1.587 4.762
Re 1.587 4.762 1.587
Re 1.587 4.762 4.762
Re 4.762 1.587 1.587
Re 4.762 1.587 4.762
Re 4.762 4.762 1.587
Re 4.762 4.762 4.762
As 0.000 0.000 3.175
As 0.000 3.175 0.000
As 3.175 0.000 0.000
As 3.175 3.175 3.175
```


Entry from the Alexandria database: TlRe2As at its PBEsol-relaxed geometry (meta-GGA SCAN).

energy of formation: 0.818 eV/atom

extended XYZ file:
```
4
Lattice="3.085 0.000 0.000 0.000 3.085 0.000 0.000 0.000 6.810" Properties=species:S:1:pos:R:3 pbc="T T T"
Tl 0.000 0.000 0.000
Re 1.543 1.543 2.019
Re 1.543 1.543 4.792
As 0.000 0.000 3.405
```


Entry from the Alexandria database: Tl2ReAs at its PBEsol-relaxed geometry (meta-GGA SCAN).

energy of formation: 0.330 eV/atom

extended XYZ file:
```
4
Lattice="3.126 0.000 0.000 0.000 3.126 0.000 0.000 0.000 8.635" Properties=species:S:1:pos:R:3 pbc="T T T"
Tl 0.000 0.000 0.000
Tl 1.563 1.563 2.759
Re 1.563 1.563 6.543
As 0.000 0.000 5.302
```


Question: Number 1 is which compound?
Answer: ReTc2As